# 1
{"formula": "CeEuTmTl", "functional": "GGA-PBE", "state": "relaxed", "lattice": [[0.0000, 3.8981, 3.8981], [3.8981, 0.0000, 3.8981], [3.8981, 3.8981, 0.0000]], "species": ["Ce", "Eu", "Tm", "Tl"], "fractional_positions": [[0.0000, 0.0000, 0.0000], [0.2500, 0.2500, 0.2500], [0.7500, 0.7500, 0.7500], [0.5000, 0.5000, 0.5000]], "formation_energy_ev_per_atom": 0.04, "crystal_system": "cubic", "magnetic_moment_mub_per_fu": 10.80}



# 2
{"formula": "CeEuTlZn", "functional": "GGA-PBE", "state": "relaxed", "lattice": [[0.0000, 3.8367, 3.8367], [3.8367, 0.0000, 3.8367], [3.8367, 3.8367, 0.0000]], "species": ["Ce", "Eu", "Tl", "Zn"], "fractional_positions": [[0.0000, 0.0000, 0.0000], [0.5000, 0.5000, 0.5000], [0.2500, 0.2500, 0.2500], [0.7500, 0.7500, 0.7500]], "formation_energy_ev_per_atom": -0.23, "crystal_system": "cubic", "magnetic_moment_mub_per_fu": 8.32}



# 3
{"formula": "Ce2EuTm", "functional": "GGA-PBE", "state": "relaxed", "lattice": [[5.8603, 0.0000, 0.0000], [0.0000, 5.8603, 0.0000], [0.0000, 0.0000, 3.7688]], "species": ["Ce", "Ce", "Eu", "Tm"], "fractional_positions": [[0.0000, 0.5000, 0.0000], [0.5000, 0.0000, 0.0000], [0.0000, 0.0000, 0.5000], [0.5000, 0.5000, 0.5000]], "formation_energy_ev_per_atom": 0.29, "crystal_system": "tetragonal", "magnetic_moment_mub_per_fu": 6.07}



# 4
{"formula": "Ce2EuTm", "functional": "GGA-PBE", "state": "relaxed", "lattice": [[4.0962, 0.0000, 0.0000], [0.0000, 4.0962, 0.0000], [0.0000, 0.0000, 7.8845]], "species": ["Ce", "Ce", "Eu", "Tm"], "fractional_positions": [[0.0000, 0.0000, 0.2254], [0.0000, 0.0000, 0.7746], [0.5000, 0.5000, 0.5000], [0.5000, 0.5000, 0.0000]], "formation_energy_ev_per_atom": 0.27, "crystal_system": "tetragonal", "magnetic_moment_mub_per_fu": 5.65}



# 5
{"formula": "Ce2EuTm", "functional": "GGA-PBE", "state": "relaxed", "lattice": [[1.7032, 0.9833, 12.4150], [-1.7032, 0.9833, 12.4150], [0.0000, -1.9667, 12.4150]], "species": ["Ce", "Ce", "Eu", "Tm"], "fractional_positions": [[0.0886, 0.0886, 0.0886], [0.9114, 0.9114, 0.9114], [0.0000, 0.0000, 0.0000], [0.5000, 0.5000, 0.5000]], "formation_energy_ev_per_atom": 0.23, "crystal_system": "trigonal", "magnetic_moment_mub_per_fu": 5.91}



# 6
{"formula": "CeEu2Tm", "functional": "GGA-PBE", "state": "relaxed", "lattice": [[0.0000, 4.1433, 4.1433], [4.1433, 0.0000, 4.1433], [4.1433, 4.1433, 0.0000]], "species": ["Ce", "Eu", "Eu", "Tm"], "fractional_positions": [[0.0000, 0.0000, 0.0000], [0.2500, 0.2500, 0.2500], [0.7500, 0.7500, 0.7500], [0.5000, 0.5000, 0.5000]], "formation_energy_ev_per_atom": 0.28, "crystal_system": "cubic", "magnetic_moment_mub_per_fu": 13.24}